Here is Pa2MnFe9 after structural relaxation from the Alexandria database. Energies are from PBE.

Cell lengths 8.7775, 8.7775, 8.7775 Å; angles 31.48, 31.48, 31.48 degrees
Element x y z (fractional)
Pa (0.1392, 0.1392, 0.1392)
Pa (0.8608, 0.8608, 0.8608)
Mn (0.0000, 0.0000, 0.0000)
Fe (0.0794, 0.5787, 0.5787)
Fe (0.3334, 0.3334, 0.3334)
Fe (0.4213, 0.4213, 0.9206)
Fe (0.4213, 0.9206, 0.4213)
Fe (0.5000, 0.5000, 0.5000)
Fe (0.5787, 0.0794, 0.5787)
Fe (0.5787, 0.5787, 0.0794)
Fe (0.6666, 0.6666, 0.6666)
Fe (0.9206, 0.4213, 0.4213)

Output
The density of states at the Fermi level comes out at 14.78 states/eV per cell. As for the symmetry: R-3m, No. 166. The formation enthalpy at 0 K comes out at 4 kJ/mol of atoms.

Here is PaMnFe after structural relaxation from the Alexandria database. Energies are from PBE.

Cell lengths 3.7165, 3.7165, 4.1121 Å; angles 90.00, 90.00, 120.00 degrees
Element x y z (fractional)
Pa (0.0000, 0.0000, 0.0000)
Mn (0.6667, 0.3333, 0.5722)
Fe (0.3333, 0.6667, 0.4282)

Output
The density of states at the Fermi level comes out at 3.74 states/eV per cell. As for the symmetry: P3m1, No. 156. The formation enthalpy at 0 K comes out at 3 kJ/mol of atoms. For the distance to the lowest polymorph of the same formula, the calculation gives 0.55 eV per formula unit.

Here is PaMnFe after structural relaxation from the Alexandria database. Energies are from PBE.

Cell lengths 3.7218, 3.7218, 8.4092 Å; angles 90.00, 90.00, 120.00 degrees
Element x y z (fractional)
Pa (0.3333, 0.6667, 0.0000)
Pa (0.6667, 0.3333, 0.5000)
Mn (0.3333, 0.6667, 0.3091)
Mn (0.6667, 0.3333, 0.8091)
Fe (0.0000, 0.0000, 0.2255)
Fe (0.0000, 0.0000, 0.7255)

Output
The density of states at the Fermi level comes out at 8.96 states/eV per cell. As for the symmetry: P6_3mc, No. 186. The formation enthalpy at 0 K comes out at 24 kJ/mol of atoms. For the distance to the lowest polymorph of the same formula, the calculation gives 1.22 eV per formula unit.

Here is Pa3MnFe after structural relaxation from the Alexandria database. Energies are from PBE.

Cell lengths 5.8770, 3.5719, 9.4416 Å; angles 90.00, 90.93, 90.00 degrees
Element x y z (fractional)
Pa (0.2326, 0.2500, 0.0564)
Pa (0.2497, 0.7500, 0.7480)
Pa (0.2630, 0.2500, 0.4417)
Pa (0.7370, 0.7500, 0.5583)
Pa (0.7503, 0.2500, 0.2520)
Pa (0.7674, 0.7500, 0.9436)
Mn (0.0402, 0.7500, 0.2990)
Mn (0.9598, 0.2500, 0.7010)
Fe (0.4551, 0.7500, 0.1959)
Fe (0.5449, 0.2500, 0.8041)

Output
The density of states at the Fermi level comes out at 10.13 states/eV per cell. As for the symmetry: P2_1/m, No. 11. The formation enthalpy at 0 K comes out at -16 kJ/mol of atoms.

Here is Pa2Mn3Fe after structural relaxation from the Alexandria database. Energies are from PBE.

Cell lengths 5.0601, 5.0601, 5.0601 Å; angles 60.34, 60.34, 60.34 degrees
Element x y z (fractional)
Pa (0.1250, 0.1250, 0.1250)
Pa (0.8750, 0.8750, 0.8750)
Mn (0.0000, 0.5000, 0.5000)
Mn (0.5000, 0.0000, 0.5000)
Mn (0.5000, 0.5000, 0.0000)
Fe (0.5000, 0.5000, 0.5000)

Output
The density of states at the Fermi level comes out at 9.06 states/eV per cell. As for the symmetry: R-3m, No. 166. The formation enthalpy at 0 K comes out at -13 kJ/mol of atoms.

Here is PaMnFe2 after structural relaxation from the Alexandria database. Energies are from PBE.

Cell lengths 2.8752, 2.8752, 6.8074 Å; angles 90.00, 90.00, 90.00 degrees
Element x y z (fractional)
Pa (0.0000, 0.0000, 0.0000)
Mn (0.0000, 0.0000, 0.5000)
Fe (0.5000, 0.5000, 0.3037)
Fe (0.5000, 0.5000, 0.6963)

Output
The density of states at the Fermi level comes out at 4.52 states/eV per cell. As for the symmetry: P4/mmm, No. 123. The formation enthalpy at 0 K comes out at 12 kJ/mol of atoms.

Here is PuPaMnFe after structural relaxation from the Alexandria database. Energies are from PBE.

Cell lengths 6.6335, 6.6335, 6.6335 Å; angles 90.00, 90.00, 90.00 degrees
Element x y z (fractional)
Pu (0.0000, 0.0000, 0.0000)
Pu (0.0000, 0.5000, 0.5000)
Pu (0.5000, 0.0000, 0.5000)
Pu (0.5000, 0.5000, 0.0000)
Pa (0.0000, 0.0000, 0.5000)
Pa (0.0000, 0.5000, 0.0000)
Pa (0.5000, 0.0000, 0.0000)
Pa (0.5000, 0.5000, 0.5000)
Mn (0.2500, 0.2500, 0.2500)
Mn (0.2500, 0.7500, 0.7500)
Mn (0.7500, 0.2500, 0.7500)
Mn (0.7500, 0.7500, 0.2500)
Fe (0.2500, 0.2500, 0.7500)
Fe (0.2500, 0.7500, 0.2500)
Fe (0.7500, 0.2500, 0.2500)
Fe (0.7500, 0.7500, 0.7500)

Output
The density of states at the Fermi level comes out at 32.57 states/eV per cell. As for the symmetry: F-43m, No. 216. The formation enthalpy at 0 K comes out at 8 kJ/mol of atoms.

Here is Pa2MnFeS5 after structural relaxation from the Alexandria database. Energies are from PBE.

Cell lengths 7.9859, 7.9859, 11.4165 Å; angles 90.00, 90.00, 153.51 degrees
Element x y z (fractional)
Pa (0.1122, 0.8878, 0.5000)
Pa (0.1255, 0.8745, 0.8528)
Pa (0.8745, 0.1255, 0.3528)
Pa (0.8878, 0.1122, 0.0000)
Mn (0.1692, 0.8308, 0.1806)
Mn (0.8308, 0.1692, 0.6806)
Fe (0.4440, 0.5560, 0.5755)
Fe (0.5560, 0.4440, 0.0755)
S (0.0103, 0.9897, 0.1719)
S (0.3052, 0.6948, 0.5130)
S (0.3089, 0.6911, 0.8354)
S (0.3330, 0.6670, 0.1740)
S (0.4985, 0.5015, 0.9009)
S (0.5015, 0.4985, 0.4009)
S (0.6670, 0.3330, 0.6740)
S (0.6911, 0.3089, 0.3354)
S (0.6948, 0.3052, 0.0130)
S (0.9897, 0.0103, 0.6719)

Output
As for the electronic total energy: -7.520 eV per atom. The density of states at the Fermi level comes out at 14.41 states/eV per cell. As for the symmetry: Cmc2_1, No. 36.

Here is ScPaMnFe after structural relaxation from the Alexandria database. Energies are from PBE.

Cell lengths 6.4474, 6.4474, 6.4474 Å; angles 90.00, 90.00, 90.00 degrees
Element x y z (fractional)
Sc (0.0000, 0.0000, 0.0000)
Sc (0.0000, 0.5000, 0.5000)
Sc (0.5000, 0.0000, 0.5000)
Sc (0.5000, 0.5000, 0.0000)
Pa (0.0000, 0.0000, 0.5000)
Pa (0.0000, 0.5000, 0.0000)
Pa (0.5000, 0.0000, 0.0000)
Pa (0.5000, 0.5000, 0.5000)
Mn (0.2500, 0.2500, 0.2500)
Mn (0.2500, 0.7500, 0.7500)
Mn (0.7500, 0.2500, 0.7500)
Mn (0.7500, 0.7500, 0.2500)
Fe (0.2500, 0.2500, 0.7500)
Fe (0.2500, 0.7500, 0.2500)
Fe (0.7500, 0.2500, 0.2500)
Fe (0.7500, 0.7500, 0.7500)

Output
The density of states at the Fermi level comes out at 15.85 states/eV per cell. As for the symmetry: F-43m, No. 216. The formation enthalpy at 0 K comes out at -3 kJ/mol of atoms.

Here is PaMnFe4Si2 after structural relaxation from the Alexandria database. Energies are from PBE.

Cell lengths 8.0852, 8.0852, 8.0852 Å; angles 28.01, 28.01, 28.01 degrees
Element x y z (fractional)
Pa (0.0000, 0.0000, 0.0000)
Mn (0.5000, 0.5000, 0.5000)
Fe (0.1322, 0.1322, 0.1322)
Fe (0.3998, 0.3998, 0.3998)
Fe (0.6002, 0.6002, 0.6002)
Fe (0.8678, 0.8678, 0.8678)
Si (0.2356, 0.2356, 0.2356)
Si (0.7644, 0.7644, 0.7644)

Output
As for the electronic total energy: -8.256 eV per atom. The density of states at the Fermi level comes out at 8.82 states/eV per cell. As for the symmetry: R-3m, No. 166.

Here is Pa2MnFe4Si3 after structural relaxation from the Alexandria database. Energies are from PBE.

Cell lengths 3.9292, 3.9292, 9.3963 Å; angles 90.00, 90.00, 90.00 degrees
Element x y z (fractional)
Pa (0.0000, 0.5000, 0.2433)
Pa (0.5000, 0.0000, 0.7567)
Mn (0.0000, 0.0000, 0.5000)
Fe (0.0000, 0.0000, 0.0000)
Fe (0.0000, 0.5000, 0.6289)
Fe (0.5000, 0.0000, 0.3711)
Fe (0.5000, 0.5000, 0.0000)
Si (0.0000, 0.5000, 0.8754)
Si (0.5000, 0.0000, 0.1246)
Si (0.5000, 0.5000, 0.5000)

Output
As for the electronic total energy: -8.342 eV per atom. The density of states at the Fermi level comes out at 13.35 states/eV per cell. As for the symmetry: P-4m2, No. 115.

Here is Pa2MnFeSi6 after structural relaxation from the Alexandria database. Energies are from PBE.

Cell lengths 11.5970, 11.5970, 11.5970 Å; angles 29.05, 29.05, 29.05 degrees
Element x y z (fractional)
Pa (0.1099, 0.1099, 0.1099)
Pa (0.2907, 0.2907, 0.2907)
Pa (0.7093, 0.7093, 0.7093)
Pa (0.8901, 0.8901, 0.8901)
Mn (0.0000, 0.0000, 0.0000)
Mn (0.5000, 0.5000, 0.5000)
Fe (0.4279, 0.4279, 0.4279)
Fe (0.5721, 0.5721, 0.5721)
Si (0.0666, 0.6617, 0.6617)
Si (0.2308, 0.2308, 0.6548)
Si (0.2308, 0.6548, 0.2308)
Si (0.3383, 0.3383, 0.9334)
Si (0.3383, 0.9334, 0.3383)
Si (0.3452, 0.7692, 0.7692)
Si (0.6548, 0.2308, 0.2308)
Si (0.6617, 0.0666, 0.6617)
Si (0.6617, 0.6617, 0.0666)
Si (0.7692, 0.3452, 0.7692)
Si (0.7692, 0.7692, 0.3452)
Si (0.9334, 0.3383, 0.3383)

Output
As for the electronic total energy: -7.307 eV per atom. The density of states at the Fermi level comes out at 15.85 states/eV per cell. As for the symmetry: R-3m, No. 166.

Here is PaMnFeSi3 after structural relaxation from the Alexandria database. Energies are from PBE.

Cell lengths 6.1347, 6.1347, 5.5110 Å; angles 90.00, 90.00, 109.27 degrees
Element x y z (fractional)
Pa (0.2495, 0.7505, 0.7500)
Pa (0.7505, 0.2495, 0.2500)
Mn (0.4608, 0.5392, 0.2500)
Mn (0.5392, 0.4608, 0.7500)
Fe (0.0348, 0.9652, 0.2500)
Fe (0.9652, 0.0348, 0.7500)
Si (0.2469, 0.7531, 0.2500)
Si (0.2496, 0.2496, 0.0000)
Si (0.2496, 0.2496, 0.5000)
Si (0.7504, 0.7504, 0.0000)
Si (0.7504, 0.7504, 0.5000)
Si (0.7531, 0.2469, 0.7500)

Output
As for the electronic total energy: -7.442 eV per atom. The density of states at the Fermi level comes out at 13.47 states/eV per cell. As for the symmetry: Cmcm, No. 63.

Here is PaMnFeSn after structural relaxation from the Alexandria database. Energies are from PBE.

Cell lengths 6.4700, 6.4700, 6.4700 Å; angles 90.00, 90.00, 90.00 degrees
Element x y z (fractional)
Pa (0.0000, 0.0000, 0.0000)
Pa (0.0000, 0.5000, 0.5000)
Pa (0.5000, 0.0000, 0.5000)
Pa (0.5000, 0.5000, 0.0000)
Mn (0.2500, 0.2500, 0.2500)
Mn (0.2500, 0.7500, 0.7500)
Mn (0.7500, 0.2500, 0.7500)
Mn (0.7500, 0.7500, 0.2500)
Fe (0.2500, 0.2500, 0.7500)
Fe (0.2500, 0.7500, 0.2500)
Fe (0.7500, 0.2500, 0.2500)
Fe (0.7500, 0.7500, 0.7500)
Sn (0.0000, 0.0000, 0.5000)
Sn (0.0000, 0.5000, 0.0000)
Sn (0.5000, 0.0000, 0.0000)
Sn (0.5000, 0.5000, 0.5000)

Output
The density of states at the Fermi level comes out at 6.87 states/eV per cell. As for the symmetry: F-43m, No. 216. The formation enthalpy at 0 K comes out at -3 kJ/mol of atoms.

Here is Tb2PaMnFe2 after structural relaxation from the Alexandria database. Energies are from PBE.

Cell lengths 7.5741, 7.5741, 7.5741 Å; angles 130.68, 72.73, 130.17 degrees
Element x y z (fractional)
Tb (0.1854, 0.1670, 0.3525)
Tb (0.3146, 0.6670, 0.9816)
Tb (0.6854, 0.3330, 0.0184)
Tb (0.8146, 0.8330, 0.6475)
Pa (0.2500, 0.7500, 0.5000)
Pa (0.7500, 0.2500, 0.5000)
Mn (0.2500, 0.2500, 0.0000)
Mn (0.7500, 0.7500, 0.0000)
Fe (0.0805, 0.7466, 0.8271)
Fe (0.4195, 0.2466, 0.6662)
Fe (0.5805, 0.7534, 0.3338)
Fe (0.9195, 0.2534, 0.1729)

Output
The density of states at the Fermi level comes out at 11.11 states/eV per cell. As for the symmetry: Ibam, No. 72. The formation enthalpy at 0 K comes out at -4 kJ/mol of atoms.

Here is PaMnFeTc after structural relaxation from the Alexandria database. Energies are from PBE.

Cell lengths 6.3553, 6.3553, 6.3553 Å; angles 90.00, 90.00, 90.00 degrees
Element x y z (fractional)
Pa (0.0000, 0.0000, 0.0000)
Pa (0.0000, 0.5000, 0.5000)
Pa (0.5000, 0.0000, 0.5000)
Pa (0.5000, 0.5000, 0.0000)
Mn (0.0000, 0.0000, 0.5000)
Mn (0.0000, 0.5000, 0.0000)
Mn (0.5000, 0.0000, 0.0000)
Mn (0.5000, 0.5000, 0.5000)
Fe (0.2500, 0.2500, 0.2500)
Fe (0.2500, 0.7500, 0.7500)
Fe (0.7500, 0.2500, 0.7500)
Fe (0.7500, 0.7500, 0.2500)
Tc (0.2500, 0.2500, 0.7500)
Tc (0.2500, 0.7500, 0.2500)
Tc (0.7500, 0.2500, 0.2500)
Tc (0.7500, 0.7500, 0.7500)

Output
The density of states at the Fermi level comes out at 20.19 states/eV per cell. As for the symmetry: F-43m, No. 216. The formation enthalpy at 0 K comes out at 4 kJ/mol of atoms.

Here is TmPaMnFe after structural relaxation from the Alexandria database. Energies are from PBE.

Cell lengths 6.6514, 6.6514, 6.6514 Å; angles 90.00, 90.00, 90.00 degrees
Element x y z (fractional)
Tm (0.0000, 0.0000, 0.0000)
Tm (0.0000, 0.5000, 0.5000)
Tm (0.5000, 0.0000, 0.5000)
Tm (0.5000, 0.5000, 0.0000)
Pa (0.0000, 0.0000, 0.5000)
Pa (0.0000, 0.5000, 0.0000)
Pa (0.5000, 0.0000, 0.0000)
Pa (0.5000, 0.5000, 0.5000)
Mn (0.2500, 0.2500, 0.2500)
Mn (0.2500, 0.7500, 0.7500)
Mn (0.7500, 0.2500, 0.7500)
Mn (0.7500, 0.7500, 0.2500)
Fe (0.2500, 0.2500, 0.7500)
Fe (0.2500, 0.7500, 0.2500)
Fe (0.7500, 0.2500, 0.2500)
Fe (0.7500, 0.7500, 0.7500)

Output
The density of states at the Fermi level comes out at 18.73 states/eV per cell. As for the symmetry: F-43m, No. 216. The formation enthalpy at 0 K comes out at 8 kJ/mol of atoms.

Here is UPaMnFe after structural relaxation from the Alexandria database. Energies are from PBE.

Cell lengths 6.4324, 6.4324, 6.4324 Å; angles 90.00, 90.00, 90.00 degrees
Element x y z (fractional)
U (0.0000, 0.0000, 0.0000)
U (0.0000, 0.5000, 0.5000)
U (0.5000, 0.0000, 0.5000)
U (0.5000, 0.5000, 0.0000)
Pa (0.2500, 0.2500, 0.7500)
Pa (0.2500, 0.7500, 0.2500)
Pa (0.7500, 0.2500, 0.2500)
Pa (0.7500, 0.7500, 0.7500)
Mn (0.2500, 0.2500, 0.2500)
Mn (0.2500, 0.7500, 0.7500)
Mn (0.7500, 0.2500, 0.7500)
Mn (0.7500, 0.7500, 0.2500)
Fe (0.0000, 0.0000, 0.5000)
Fe (0.0000, 0.5000, 0.0000)
Fe (0.5000, 0.0000, 0.0000)
Fe (0.5000, 0.5000, 0.5000)

Output
The density of states at the Fermi level comes out at 25.74 states/eV per cell. As for the symmetry: F-43m, No. 216. The formation enthalpy at 0 K comes out at -2 kJ/mol of atoms.

Here is PaMnZnFe after structural relaxation from the Alexandria database. Energies are from PBE.

Cell lengths 6.2481, 6.2481, 6.2481 Å; angles 90.00, 90.00, 90.00 degrees
Element x y z (fractional)
Pa (0.0000, 0.0000, 0.0000)
Pa (0.0000, 0.5000, 0.5000)
Pa (0.5000, 0.0000, 0.5000)
Pa (0.5000, 0.5000, 0.0000)
Mn (0.2500, 0.2500, 0.7500)
Mn (0.2500, 0.7500, 0.2500)
Mn (0.7500, 0.2500, 0.2500)
Mn (0.7500, 0.7500, 0.7500)
Zn (0.0000, 0.0000, 0.5000)
Zn (0.0000, 0.5000, 0.0000)
Zn (0.5000, 0.0000, 0.0000)
Zn (0.5000, 0.5000, 0.5000)
Fe (0.2500, 0.2500, 0.2500)
Fe (0.2500, 0.7500, 0.7500)
Fe (0.7500, 0.2500, 0.7500)
Fe (0.7500, 0.7500, 0.2500)

Output
The density of states at the Fermi level comes out at 14.33 states/eV per cell. As for the symmetry: F-43m, No. 216. The formation enthalpy at 0 K comes out at 1 kJ/mol of atoms.

Here is ZrPaMnFe after structural relaxation from the Alexandria database. Energies are from PBE.

Cell lengths 6.5167, 6.5167, 6.5167 Å; angles 90.00, 90.00, 90.00 degrees
Element x y z (fractional)
Zr (0.0000, 0.0000, 0.0000)
Zr (0.0000, 0.5000, 0.5000)
Zr (0.5000, 0.0000, 0.5000)
Zr (0.5000, 0.5000, 0.0000)
Pa (0.0000, 0.0000, 0.5000)
Pa (0.0000, 0.5000, 0.0000)
Pa (0.5000, 0.0000, 0.0000)
Pa (0.5000, 0.5000, 0.5000)
Mn (0.2500, 0.2500, 0.7500)
Mn (0.2500, 0.7500, 0.2500)
Mn (0.7500, 0.2500, 0.2500)
Mn (0.7500, 0.7500, 0.7500)
Fe (0.2500, 0.2500, 0.2500)
Fe (0.2500, 0.7500, 0.7500)
Fe (0.7500, 0.2500, 0.7500)
Fe (0.7500, 0.7500, 0.2500)

Output
The density of states at the Fermi level comes out at 16.56 states/eV per cell. As for the symmetry: F-43m, No. 216. The formation enthalpy at 0 K comes out at 1 kJ/mol of atoms.